Compound: Pm4Pr3Nd5
Source: Alexandria
Functional: PBE
Structure: optimized geometry

It has space group P-1 (No. 2), with a = 6.378 Å, b = 7.350 Å, c = 9.025 Å, α = 90.04°, β = 90.09° and γ = 90.04°. The asymmetric unit holds Pm at (0.167, 0.000, 0.166), Pm at (0.333, 0.249, 0.834), Pr at (0.333, 0.751, 0.834), Pr at (0.500, 0.500, 0.500), Nd at (0.001, 0.249, 0.500), Nd at (0.166, 0.500, 0.166) and Nd at (0.500, 0.000, 0.500).

The energy above the most stable polymorph in this dataset comes out at 0 meV per atom. For the total magnetic moment, the calculation gives 0.0 μB/cell. The value obtained for the formation energy is 0.012 eV/atom.